DFT (PBE-GGA) results for an optimized crystal structure of CaNbNF2.

Lattice parameters (Å, degrees): 3.9122 3.9122 8.3123 90.00 90.00 90.00
Atoms (fractional coordinates):
1 Ca 0.0000 0.0000 0.0000
2 Nb 0.0000 0.0000 0.5000
3 N 0.5000 0.5000 0.5000
4 F 0.0000 0.5000 0.0000
5 F 0.5000 0.0000 0.0000

Output
Energy relative to the lowest polymorph listed for this composition: 975 meV per atom
Symmetry: No. 123
Formation energy (no corrections): -0.72 eV per atom